This record from the Alexandria database describes a relaxed structure of LiZn3Cd. The functional is PBE.

Properties
Total magnetization   0.00 μB per formula unit
DFT formation energy   -7.6 kJ per mole of atoms

Cell: 5.749 7.087 9.260 Å, 119.53 90.00 90.00°
Sites, in units of the cell vectors:
Li: 0.749 0.500 0.500
Li: 0.251 0.500 0.500
Li: 0.249 0.000 0.000
Li: 0.751 0.000 0.000
Zn: 0.000 0.428 0.193
Zn: 0.000 0.572 0.807
Zn: 0.500 0.072 0.307
Zn: 0.500 0.928 0.693
Zn: 0.252 0.792 0.403
Zn: 0.748 0.208 0.597
Zn: 0.752 0.708 0.097
Zn: 0.248 0.292 0.903
Zn: 0.746 0.793 0.403
Zn: 0.254 0.207 0.597
Zn: 0.246 0.707 0.097
Zn: 0.754 0.293 0.903
Cd: 0.500 0.397 0.201
Cd: 0.500 0.603 0.799
Cd: 0.000 0.103 0.299
Cd: 0.000 0.897 0.701